{"formula": "Sr3Mg2Zn9", "functional": "PBE", "state": "optimized geometry", "volume_a3_per_cell": 302.72, "m_tot_mub_per_fu": 0.00, "mass_density_g_cm3": 4.9, "formation_enthalpy_0k_ev_per_atom": -0.215, "total_energy_ev_per_cell": -22.71, "lattice_angstrom": [[4.455, 0.000, 1.197], [1.543, 8.030, 3.147], [0.044, 0.750, 8.729]], "species": ["Sr", "Sr", "Sr", "Mg", "Mg", "Zn", "Zn", "Zn", "Zn", "Zn", "Zn", "Zn", "Zn", "Zn"], "fractional_positions": [[0.000, 0.000, 0.000], [0.710, 0.290, 0.290], [0.290, 0.710, 0.710], [0.500, 0.316, 0.684], [0.500, 0.684, 0.316], [0.000, 0.500, 0.500], [0.665, 0.981, 0.689], [0.335, 0.019, 0.311], [0.665, 0.689, 0.981], [0.335, 0.311, 0.019], [0.864, 0.849, 0.422], [0.136, 0.151, 0.578], [0.864, 0.422, 0.849], [0.136, 0.578, 0.151]]}